(1)
VASP calculation (PBE) on K2MgSi after structural relaxation.

ΔE_f (raw) in eV per formula unit: 1.75
Size of the total moment in μB/atom: 0.00

Cell lengths 3.6584, 5.5611, 6.2966 Å; angles 90.00, 92.94, 90.00 degrees
Fractional positions:
1 K 0.0198 0.0000 0.2662
2 K 0.9802 0.0000 0.7338
3 Mg 0.5000 0.5000 0.0000
4 Si 0.5000 0.5000 0.5000

---

(2)
VASP calculation (PBE) on KMgSi4 after structural relaxation.

ΔE_f (raw) in eV per formula unit: 1.82
Size of the total moment in μB/atom: 0.00

Cell lengths 5.3949, 5.3949, 5.3949 Å; angles 60.00, 60.00, 60.00 degrees
Fractional positions:
1 K 0.0000 0.0000 0.0000
2 Mg 0.7500 0.7500 0.7500
3 Si 0.3748 0.3748 0.3748
4 Si 0.3748 0.3748 0.8757
5 Si 0.3748 0.8757 0.3748
6 Si 0.8757 0.3748 0.3748

---

(3)
VASP calculation (PBE) on K2MgSi after structural relaxation.

ΔE_f (raw) in eV per formula unit: 1.76
Size of the total moment in μB/atom: 0.00

Cell lengths 3.7427, 6.2723, 6.2831 Å; angles 119.55, 90.92, 90.91 degrees
Fractional positions:
1 K 0.0000 0.0000 0.0000
2 K 0.0000 0.5000 0.5000
3 Mg 0.5000 0.0000 0.5000
4 Si 0.5000 0.5000 0.0000

---

(4)
VASP calculation (PBE) on KMgSi after structural relaxation.

ΔE_f (raw) in eV per formula unit: 2.95
Energy relative to the lowest polymorph listed for this composition in kJ/mol of formula units: 274
Size of the total moment in μB/atom: 0.40

Cell lengths 5.2470, 5.2470, 5.2470 Å; angles 60.00, 60.00, 60.00 degrees
Fractional positions:
1 K 0.0000 0.0000 0.0000
2 Mg 0.2500 0.2500 0.2500
3 Si 0.7500 0.7500 0.7500

---

(5)
VASP calculation (PBE) on K2MgSi after structural relaxation.

ΔE_f (raw) in eV per formula unit: 0.90
Size of the total moment in μB/atom: 0.00

Cell lengths 5.4146, 5.4146, 5.4146 Å; angles 60.00, 60.00, 60.00 degrees
Fractional positions:
1 K 0.0000 0.0000 0.0000
2 K 0.2500 0.2500 0.2500
3 Mg 0.7500 0.7500 0.7500
4 Si 0.5000 0.5000 0.5000

---

(6)
VASP calculation (PBE) on KMgSi2 after structural relaxation.

ΔE_f (raw) in eV per formula unit: 2.14
Size of the total moment in μB/atom: 0.00

Cell lengths 4.4061, 4.4061, 4.4752 Å; angles 90.00, 90.00, 90.00 degrees
Fractional positions:
1 K 0.0000 0.0000 0.0000
2 Mg 0.5000 0.5000 0.0000
3 Si 0.0000 0.5000 0.5000
4 Si 0.5000 0.0000 0.5000

---

(7)
VASP calculation (PBE) on K2MgSi after structural relaxation.

ΔE_f (raw) in eV per formula unit: 2.06
Size of the total moment in μB/atom: 0.00

Cell lengths 12.3703, 12.3703, 12.3703 Å; angles 16.23, 16.23, 16.23 degrees
Fractional positions:
1 K 0.2404 0.2404 0.2404
2 K 0.7596 0.7596 0.7596
3 Mg 0.0000 0.0000 0.0000
4 Si 0.5000 0.5000 0.5000

---

(8)
VASP calculation (PBE) on KMgSi after structural relaxation.

ΔE_f (raw) in eV per formula unit: 1.23
Energy relative to the lowest polymorph listed for this composition in kJ/mol of formula units: 109
Size of the total moment in μB/atom: 0.34

Cell lengths 5.0740, 5.0740, 5.0740 Å; angles 60.00, 60.00, 60.00 degrees
Fractional positions:
1 K 0.0000 0.0000 0.0000
2 Mg 0.5000 0.5000 0.5000
3 Si 0.7500 0.7500 0.7500

---

(9)
VASP calculation (PBE) on K2MgSi after structural relaxation.

ΔE_f (raw) in eV per formula unit: 0.84
Size of the total moment in μB/atom: 0.00

Cell lengths 3.8336, 3.8336, 10.1717 Å; angles 90.00, 90.00, 90.00 degrees
Fractional positions:
1 K 0.0000 0.0000 0.0000
2 K 0.5000 0.5000 0.3982
3 Mg 0.0000 0.0000 0.6767
4 Si 0.5000 0.5000 0.7432

---

(10)
VASP calculation (PBE) on KMgSi2 after structural relaxation.

ΔE_f (raw) in eV per formula unit: 1.23
Size of the total moment in μB/atom: 0.00

Cell lengths 9.8457, 9.8457, 9.8457 Å; angles 150.12, 150.12, 42.77 degrees
Fractional positions:
1 K 0.3750 0.6250 0.7500
2 K 0.6250 0.3750 0.2500
3 Mg 0.1250 0.8750 0.2500
4 Mg 0.8750 0.1250 0.7500
5 Si 0.0000 0.0000 0.0000
6 Si 0.0000 0.0000 0.5000
7 Si 0.0000 0.5000 0.0000
8 Si 0.5000 0.0000 0.5000

---

(11)
VASP calculation (PBE) on KMgSi after structural relaxation.

ΔE_f (raw) in eV per formula unit: 0.62
Energy relative to the lowest polymorph listed for this composition in kJ/mol of formula units: 50
Size of the total moment in μB/atom: 0.00

Cell lengths 4.8252, 4.8252, 4.2410 Å; angles 90.00, 90.00, 120.00 degrees
Fractional positions:
1 K 0.0000 0.0000 0.0000
2 Mg 0.6667 0.3333 0.5000
3 Si 0.3333 0.6667 0.5000

---

(12)
VASP calculation (PBE) on KMgSiTe4 after structural relaxation.

ΔE_f (raw) in eV per formula unit: -3.31
Size of the total moment in μB/atom: 0.00

Cell lengths 7.1571, 7.1800, 10.6406 Å; angles 90.00, 106.34, 90.00 degrees
Fractional positions:
1 K 0.2010 0.2500 0.0420
2 K 0.7990 0.7500 0.9580
3 Mg 0.2818 0.2500 0.6723
4 Mg 0.7182 0.7500 0.3277
5 Si 0.2222 0.7500 0.3038
6 Si 0.7778 0.2500 0.6962
7 Te 0.0155 0.5160 0.7179
8 Te 0.0155 0.9840 0.7179
9 Te 0.3727 0.7500 0.1161
10 Te 0.4929 0.2500 0.4848
11 Te 0.5071 0.7500 0.5152
12 Te 0.6273 0.2500 0.8839
13 Te 0.9845 0.0160 0.2821
14 Te 0.9845 0.4840 0.2821

---

(13)
VASP calculation (PBE) on KMg2SiW after structural relaxation.

ΔE_f (raw) in eV per formula unit: 11.73
Size of the total moment in μB/atom: 0.54

Cell lengths 5.0403, 5.0403, 5.1429 Å; angles 90.00, 90.00, 90.00 degrees
Fractional positions:
1 K 0.0000 0.0000 0.0000
2 Mg 0.0000 0.5000 0.0000
3 Mg 0.5000 0.0000 0.0000
4 Si 0.0000 0.0000 0.5000
5 W 0.5000 0.5000 0.5000

---

(14)
VASP calculation (PBE) on KMg6Sn2 after structural relaxation.

Formation energy from the elements in eV/atom: -0.10
Size of the total moment in μB/atom: 0.00

Cell lengths 4.8115, 4.8115, 10.4608 Å; angles 90.00, 90.00, 90.00 degrees
Fractional positions:
1 K 0.0000 0.0000 0.0000
2 Mg 0.0000 0.0000 0.5000
3 Mg 0.0000 0.5000 0.3013
4 Mg 0.0000 0.5000 0.6987
5 Mg 0.5000 0.0000 0.3013
6 Mg 0.5000 0.0000 0.6987
7 Mg 0.5000 0.5000 0.5000
8 Sn 0.5000 0.5000 0.1417
9 Sn 0.5000 0.5000 0.8583

---

(15)
VASP calculation (PBE) on KMg3Sn3 after structural relaxation.

Energy relative to the lowest polymorph listed for this composition in kJ/mol of formula units: 0
Formation energy from the elements in eV/atom: -0.07
Size of the total moment in μB/atom: 0.00

Cell lengths 10.6348, 10.6348, 10.6348 Å; angles 39.26, 39.26, 39.26 degrees
Fractional positions:
1 K 0.1751 0.1751 0.1751
2 K 0.8249 0.8249 0.8249
3 Mg 0.0775 0.5816 0.2563
4 Mg 0.2563 0.0775 0.5816
5 Mg 0.4184 0.7437 0.9225
6 Mg 0.5816 0.2563 0.0775
7 Mg 0.7437 0.9225 0.4184
8 Mg 0.9225 0.4184 0.7437
9 Sn 0.1894 0.6835 0.3777
10 Sn 0.3165 0.6223 0.8106
11 Sn 0.3777 0.1894 0.6835
12 Sn 0.6223 0.8106 0.3165
13 Sn 0.6835 0.3777 0.1894
14 Sn 0.8106 0.3165 0.6223

---

(16)
VASP calculation (PBE) on KMgSn4 after structural relaxation.

Energy relative to the lowest polymorph listed for this composition in kJ/mol of formula units: 61
Formation energy from the elements in eV/atom: 0.01
Size of the total moment in μB/atom: 0.00

Cell lengths 6.3618, 6.3618, 6.3618 Å; angles 60.00, 60.00, 60.00 degrees
Fractional positions:
1 K 0.0000 0.0000 0.0000
2 Mg 0.2500 0.2500 0.2500
3 Sn 0.1270 0.6243 0.6243
4 Sn 0.6243 0.1270 0.6243
5 Sn 0.6243 0.6243 0.1270
6 Sn 0.6243 0.6243 0.6243

---

(17)
VASP calculation (PBE) on KMgSn3 after structural relaxation.

Energy relative to the lowest polymorph listed for this composition in kJ/mol of formula units: 112
Formation energy from the elements in eV/atom: 0.16
Size of the total moment in μB/atom: 0.00

Cell lengths 5.5494, 5.5494, 5.5494 Å; angles 90.00, 90.00, 90.00 degrees
Fractional positions:
1 K 0.0000 0.0000 0.0000
2 Mg 0.5000 0.5000 0.5000
3 Sn 0.0000 0.5000 0.5000
4 Sn 0.5000 0.0000 0.5000
5 Sn 0.5000 0.5000 0.0000

---

(18)
VASP calculation (PBE) on KMg4Sn12 after structural relaxation.

Formation energy from the elements in eV/atom: 0.08
Size of the total moment in μB/atom: 0.00

Cell lengths 8.7618, 8.7618, 8.7618 Å; angles 109.47, 109.47, 109.47 degrees
Fractional positions:
1 K 0.0000 0.0000 0.0000
2 Mg 0.0000 0.0000 0.5000
3 Mg 0.0000 0.5000 0.0000
4 Mg 0.5000 0.0000 0.0000
5 Mg 0.5000 0.5000 0.5000
6 Sn 0.1548 0.5138 0.3590
7 Sn 0.1548 0.7958 0.6410
8 Sn 0.2042 0.3590 0.8452
9 Sn 0.3590 0.1548 0.5138
10 Sn 0.3590 0.8452 0.2042
11 Sn 0.4862 0.6410 0.8452
12 Sn 0.5138 0.3590 0.1548
13 Sn 0.6410 0.1548 0.7958
14 Sn 0.6410 0.8452 0.4862
15 Sn 0.7958 0.6410 0.1548
16 Sn 0.8452 0.2042 0.3590
17 Sn 0.8452 0.4862 0.6410

---

(19)
VASP calculation (PBE) on KMgSn2 after structural relaxation.

Formation energy from the elements in eV/atom: -0.18
Size of the total moment in μB/atom: 0.00

Cell lengths 3.8293, 3.8293, 8.0616 Å; angles 90.00, 90.00, 90.00 degrees
Fractional positions:
1 K 0.0000 0.0000 0.0000
2 Mg 0.0000 0.0000 0.5000
3 Sn 0.5000 0.5000 0.3100
4 Sn 0.5000 0.5000 0.6900

---

(20)
VASP calculation (PBE) on KMgSn2 after structural relaxation.

Formation energy from the elements in eV/atom: 0.05
Size of the total moment in μB/atom: 0.00

Cell lengths 10.6446, 10.6446, 10.6446 Å; angles 148.82, 148.82, 44.67 degrees
Fractional positions:
1 K 0.0000 0.0000 0.0000
2 K 0.7500 0.2500 0.5000
3 Mg 0.2500 0.7500 0.5000
4 Mg 0.5000 0.5000 0.0000
5 Sn 0.3132 0.6250 0.1882
6 Sn 0.3750 0.5632 0.6882
7 Sn 0.4368 0.1250 0.8118
8 Sn 0.8750 0.6868 0.3118

---

(21)
VASP calculation (PBE) on KMgSn2 after structural relaxation.

Formation energy from the elements in eV/atom: -0.13
Size of the total moment in μB/atom: 0.00

Cell lengths 5.1812, 5.1812, 6.8496 Å; angles 105.83, 105.83, 51.21 degrees
Fractional positions:
1 K 0.0000 0.0000 0.0000
2 Mg 0.5000 0.5000 0.5000
3 Sn 0.2313 0.2313 0.6400
4 Sn 0.7687 0.7687 0.3600

---

(22)
VASP calculation (PBE) on K3Mg7Sn4 after structural relaxation.

Formation energy from the elements in eV/atom: -0.14
Size of the total moment in μB/atom: 0.00

Cell lengths 9.5387, 9.5387, 11.3156 Å; angles 125.49, 125.49, 29.87 degrees
Fractional positions:
1 K 0.0000 0.0000 0.0000
2 K 0.3069 0.3069 0.3013
3 K 0.6931 0.6931 0.6987
4 Mg 0.0000 0.0000 0.5000
5 Mg 0.1694 0.1694 0.4224
6 Mg 0.3211 0.3211 0.9756
7 Mg 0.4938 0.4938 0.7109
8 Mg 0.5062 0.5062 0.2891
9 Mg 0.6789 0.6789 0.0244
10 Mg 0.8306 0.8306 0.5776
11 Sn 0.1159 0.1159 0.8269
12 Sn 0.3404 0.3404 0.7285
13 Sn 0.6596 0.6596 0.2715
14 Sn 0.8841 0.8841 0.1731

---

(23)
VASP calculation (PBE) on KMgSn2 after structural relaxation.

Formation energy from the elements in eV/atom: -0.14
Size of the total moment in μB/atom: 0.00

Cell lengths 6.5438, 5.0456, 8.3418 Å; angles 90.00, 105.70, 90.00 degrees
Fractional positions:
1 K 0.2205 0.2500 0.4132
2 K 0.7795 0.7500 0.5868
3 Mg 0.3243 0.2500 0.9231
4 Mg 0.6757 0.7500 0.0769
5 Sn 0.1755 0.7500 0.0646
6 Sn 0.3359 0.7500 0.7495
7 Sn 0.6641 0.2500 0.2505
8 Sn 0.8245 0.2500 0.9354

---

(24)
VASP calculation (PBE) on K2Mg12Sn7 after structural relaxation.

Formation energy from the elements in eV/atom: -0.21
Size of the total moment in μB/atom: 0.00

Cell lengths 11.9145, 11.9145, 4.5586 Å; angles 90.00, 90.00, 120.00 degrees
Fractional positions:
1 K 0.3333 0.6667 0.2552
2 K 0.6667 0.3333 0.7448
3 Mg 0.0572 0.4331 0.7495
4 Mg 0.1156 0.2607 0.2518
5 Mg 0.1451 0.8844 0.2518
6 Mg 0.2607 0.1451 0.7482
7 Mg 0.3758 0.9428 0.7495
8 Mg 0.4331 0.3758 0.2505
9 Mg 0.5669 0.6242 0.7495
10 Mg 0.6242 0.0572 0.2505
11 Mg 0.7393 0.8549 0.2518
12 Mg 0.8549 0.1156 0.7482
13 Mg 0.8844 0.7393 0.7482
14 Mg 0.9428 0.5669 0.2505
15 Sn 0.0000 0.0000 0.5000
16 Sn 0.1150 0.7046 0.7536
17 Sn 0.2954 0.4103 0.7536
18 Sn 0.4103 0.1150 0.2464
19 Sn 0.5897 0.8850 0.7536
20 Sn 0.7046 0.5897 0.2464
21 Sn 0.8850 0.2954 0.2464

---

(25)
VASP calculation (PBE) on KMgSn2 after structural relaxation.

Formation energy from the elements in eV/atom: -0.08
Size of the total moment in μB/atom: 0.00

Cell lengths 7.5097, 7.5097, 7.5097 Å; angles 37.81, 37.81, 37.81 degrees
Fractional positions:
1 K 0.0000 0.0000 0.0000
2 Mg 0.1838 0.1838 0.1838
3 Sn 0.5493 0.5493 0.5493
4 Sn 0.7962 0.7962 0.7962